[1]
VASP calculation (PBE-GGA) on an optimized crystal structure of Na2UCl5.

The structure in POSCAR format:
```
Na2UCl5
1.0
-4.4200 6.4650 -1.3217
-4.5641 -1.7145 6.8766
7.7106 6.6572 6.7774
Cl U Na
20 4 8
direct
0.5578 0.7500 0.9944
0.1585 0.5462 0.0939
0.8415 0.0462 0.9061
0.1364 0.7500 0.8177
0.1867 0.2500 0.7850
0.8415 0.4538 0.9061
0.3636 0.7500 0.3177
0.3415 0.9538 0.5939
0.9422 0.7500 0.4944
0.8636 0.2500 0.1823
0.3415 0.5462 0.5939
0.6585 0.0462 0.4061
0.6585 0.4538 0.4061
0.8133 0.7500 0.2150
0.3133 0.2500 0.2850
0.6867 0.7500 0.7150
0.0578 0.2500 0.5056
0.6364 0.2500 0.6823
0.4422 0.2500 0.0056
0.1585 0.9538 0.0939
0.0828 0.2500 0.0039
0.4172 0.2500 0.5039
0.9172 0.7500 0.9961
0.5828 0.7500 0.4961
0.5087 0.5092 0.1761
0.9913 0.5092 0.6761
0.9913 0.9908 0.6761
0.4913 0.4908 0.8239
0.5087 0.9908 0.1761
0.4913 0.0092 0.8239
0.0087 0.4908 0.3239
0.0087 0.0092 0.3239
```

Computed properties:
energy relative to the elements, uncorrected = -1.715 eV per atom
space-group type = Pnma, No. 62
total magnetic moment = 12.00 μB/cell

=====

[2]
VASP calculation (PBE-GGA) on an optimized crystal structure of ReAs.

The structure in POSCAR format:
```
ReAs
1.0
9.0770 0.0000 0.0000
0.0000 3.8824 0.0000
0.0000 0.0000 5.8819
Re As
6 6
direct
0.2732 0.0018 0.9661
0.2268 0.9982 0.4661
0.5000 0.4383 0.9230
0.7732 0.9982 0.4661
0.7268 0.0018 0.9661
0.0000 0.5617 0.4230
0.6662 0.4981 0.2482
0.3338 0.4981 0.2482
0.0000 0.0608 0.1504
0.5000 0.9392 0.6504
0.8338 0.5019 0.7482
0.1662 0.5019 0.7482
```

Computed properties:
polymorph energy (0 for the lowest one) = 278 meV per atom
space-group type = Pmn2_1, No. 31
total magnetic moment = 0.00 μB/cell

=====

[3]
VASP calculation (PBE-GGA) on an optimized crystal structure of Ni2SbAs.

The structure in POSCAR format:
```
Ni2SbAs
1.0
-2.6001 -1.6146 3.3042
-0.0498 -4.4186 0.8713
1.8784 -1.5713 3.7799
Ni Sb As
2 1 1
direct
0.2500 0.2500 0.2500
0.0000 0.0000 0.0000
0.7500 0.7500 0.7500
0.5000 0.5000 0.5000
```

Computed properties:
energy relative to the elements, uncorrected = 0.395 eV per atom
space-group type = F-43m, No. 216
total magnetic moment = 0.00 μB/cell

=====

[4]
VASP calculation (PBE-GGA) on an optimized crystal structure of MgCd4InHg.

The structure in POSCAR format:
```
MgCd4InHg
1.0
-1.1233 4.2259 5.5168
6.0668 -1.6442 6.9860
7.9854 3.7327 3.2579
Mg In Cd Hg
2 2 8 2
direct
0.0000 0.5000 0.5000
0.0000 0.0000 0.0000
0.3786 0.3714 0.8714
0.6214 0.6286 0.1286
0.2334 0.8159 0.3159
0.1824 0.3653 0.2698
0.1824 0.7698 0.8653
0.7666 0.1841 0.6841
0.6347 0.8159 0.3159
0.8176 0.6347 0.7302
0.8176 0.2302 0.1347
0.3653 0.1841 0.6841
0.5000 0.0000 0.5000
0.0000 0.0000 0.5000
```

Computed properties:
DFT total energy = -0.0777 Ry per atom
space-group type = Imma, No. 74
total magnetic moment = 0.00 μB/cell

=====

[5]
VASP calculation (PBE-GGA) on an optimized crystal structure of Li2TeAs.

The structure in POSCAR format:
```
Li2TeAs
1.0
3.1277 0.0000 0.0000
0.0000 3.1277 0.0000
0.0000 0.0000 8.3528
Li Te As
2 1 1
direct
0.0000 0.0000 0.9531
0.0000 0.0000 0.5469
0.5000 0.5000 0.2500
0.5000 0.5000 0.7500
```

Computed properties:
energy relative to the elements, uncorrected = -0.480 eV per atom
polymorph energy (0 for the lowest one) = 27 meV per atom
space-group type = P4/mmm, No. 123
total magnetic moment = 0.00 μB/cell

=====

[6]
VASP calculation (PBE-GGA) on an optimized crystal structure of Pm2HgPt.

The structure in POSCAR format:
```
Pm2HgPt
1.0
3.6647 0.0000 0.0000
0.0000 3.6647 0.0000
0.0000 0.0000 7.5490
Pt Hg Pm
1 1 2
direct
0.5000 0.5000 0.0000
0.5000 0.5000 0.5000
0.0000 0.0000 0.7739
0.0000 0.0000 0.2261
```

Computed properties:
polymorph energy (0 for the lowest one) = 1 meV per atom
space-group type = P4/mmm, No. 123
total magnetic moment = 0.00 μB/cell

=====

[7]
VASP calculation (PBE-GGA) on an optimized crystal structure of AcPmPr.

The structure in POSCAR format:
```
AcPmPr
1.0
3.7984 0.0000 0.0000
-1.8992 3.2895 0.0000
0.0000 0.0000 18.5238
Pm Pr Ac
2 2 2
direct
0.0000 0.0000 0.7586
0.0000 0.0000 0.2414
0.6667 0.3333 0.0819
0.3333 0.6667 0.9181
0.3333 0.6667 0.4098
0.6667 0.3333 0.5902
```

Computed properties:
polymorph energy (0 for the lowest one) = 8 meV per atom
space-group type = P-3m1, No. 164
total magnetic moment = 0.00 μB/cell

=====

[8]
VASP calculation (PBE-GGA) on an optimized crystal structure of Sc6ZnSn2.

The structure in POSCAR format:
```
Sc6ZnSn2
1.0
3.6407 0.0000 0.0000
0.0000 8.0483 0.0000
0.0000 -4.0242 6.9702
Sc Sn Zn
6 2 1
direct
0.5000 0.0000 0.6108
0.0000 0.2620 0.0000
0.0000 0.0000 0.2619
0.5000 0.6108 0.0000
0.0000 0.7380 0.7381
0.5000 0.3892 0.3892
0.0000 0.3333 0.6667
0.0000 0.6667 0.3333
0.5000 0.0001 0.0000
```

Computed properties:
DFT total energy = -0.4178 Ry per atom
space-group type = P-62m, No. 189
total magnetic moment = 1.99 μB/cell